The following is a DFT calculation (PBE-GGA) of crystalline CaTbEuDy at its relaxed geometry.

Results
Its crystal system is cubic. For the total energy, the calculation gives -5.227 eV per atom. As for the mass density: 6.0 g/cm3. The magnetic moment is 7.34 Bohr magnetons per cell. The space group is No. 216. As for the formation energy: 151 meV/atom.

Lattice parameters (Å, degrees): 5.8561 5.8561 5.8561 60.00 60.00 60.00
Fractional coordinates of all 4 atoms:
Ca1 0.0000 0.0000 0.0000
Tb1 0.2500 0.2500 0.2500
Eu1 0.7500 0.7500 0.7500
Dy1 0.5000 0.5000 0.5000



The following is a DFT calculation (PBE-GGA) of crystalline CaEuDyTm at its relaxed geometry.

Results
Its crystal system is cubic. For the total energy, the calculation gives -5.179 eV per atom. As for the mass density: 6.2 g/cm3. The magnetic moment is 7.40 Bohr magnetons per cell. The space group is No. 216. As for the formation energy: 158 meV/atom.

Lattice parameters (Å, degrees): 5.8206 5.8206 5.8206 60.00 60.00 60.00
Fractional coordinates of all 4 atoms:
Ca1 0.0000 0.0000 0.0000
Eu1 0.2500 0.2500 0.2500
Dy1 0.7500 0.7500 0.7500
Tm1 0.5000 0.5000 0.5000



Number 1: DOS(E_F) 5.25 states/eV/cell. Number 2: DOS(E_F) 5.59 states/eV/cell.